The following is a DFT calculation (GGA-PBE) of a geometry-optimized Ca2Ag3Sn2 structure.

The calculation puts the magnetization at 0.000 μB per formula unit. The calculation puts the formation energy at -2.664 eV/f.u. As for the total energy: -3.32 eV/atom. The value obtained for the density of states at the Fermi level is 4.29 states/eV per cell.

The structure belongs to space group C2/m (No. 12); the cell edges are 11.144, 4.662 and 7.182 Å and the angles 90.00°, 113.36° and 90.00°. The asymmetric unit holds Ca at (0.144, 0.000, 0.253), Ag at (0.000, 0.500, 0.500), Ag at (0.101, 0.500, 0.930) and Sn at (0.144, 0.000, 0.722).

=====

The following is a DFT calculation (GGA-PBE) of a geometry-optimized Ca5Ag2Sn structure.

The calculation puts the magnetization at 0.000 μB per formula unit. The calculation puts the formation energy at -3.316 eV/f.u. As for the total energy: -2.88 eV/atom. The value obtained for the density of states at the Fermi level is 22.43 states/eV per cell.

The structure belongs to space group I4/mcm (No. 140); the cell edges are 8.080, 8.080 and 14.847 Å and the angles 90.00°, 90.00° and 90.00°. The asymmetric unit holds Ca at (0.000, 0.000, 0.000), Ca at (0.170, 0.330, 0.145), Ag at (0.124, 0.376, 0.500) and Sn at (0.000, 0.000, 0.250).